# TaAgF6 PBE-GGA optimized geometry
data_TaAgF6
_symmetry_space_group_name_H-M 'C 1 2/m 1'
_symmetry_Int_Tables_number 12
_symmetry_space_group_name_Hall '-C 2y'
_cell_length_a 7.7043
_cell_length_b 6.6921
_cell_length_c 5.3896
_cell_angle_alpha 90.00
_cell_angle_beta 109.51
_cell_angle_gamma 90.00
loop_
_atom_site_label
_atom_site_fract_x
_atom_site_fract_y
_atom_site_fract_z
Ta1 0.0000 0.0000 0.0000
Ag1 0.0000 0.5000 0.5000
F1 0.0607 0.2026 0.2702
F2 0.2469 0.5000 0.9845
# Formation energy without anion corrections: -2.73 eV per atom
# ρ: 5.1 g/cm3
# V: 262 Å³ per cell
# Electronic total energy: -5.974 eV/atom